1.
# ZrPbI2N, relaxed, DFT GGA-PBE
# ΔE_f (raw), eV/atom: -0.184
# N(E_F), states/eV per atom: 0.83
data_ZrPbI2N
_symmetry_space_group_name_H-M 'P 4/m m m'
_symmetry_Int_Tables_number 123
_symmetry_space_group_name_Hall '-P 4 2'
_cell_length_a 6.0520
_cell_length_b 6.0520
_cell_length_c 4.0440
_cell_angle_alpha 90.00
_cell_angle_beta 90.00
_cell_angle_gamma 90.00
loop_
_atom_site_label
_atom_site_type_symbol
_atom_site_fract_x
_atom_site_fract_y
_atom_site_fract_z
Zr1 Zr 0.0000 0.0000 0.0000
Pb1 Pb 0.5000 0.5000 0.5000
I1 I 0.0000 0.5000 0.0000
N1 N 0.0000 0.0000 0.5000

=====

2.
# PuBi2Rh, relaxed, DFT GGA-PBE
# Energy of formation, eV/atom: -0.11
# N(E_F), states/eV per atom: 2.19
data_PuBi2Rh
_symmetry_space_group_name_H-M 'P 4/m m m'
_symmetry_Int_Tables_number 123
_symmetry_space_group_name_Hall '-P 4 2'
_cell_length_a 3.4435
_cell_length_b 3.4435
_cell_length_c 8.1794
_cell_angle_alpha 90.00
_cell_angle_beta 90.00
_cell_angle_gamma 90.00
loop_
_atom_site_label
_atom_site_type_symbol
_atom_site_fract_x
_atom_site_fract_y
_atom_site_fract_z
Pu1 Pu 0.0000 0.0000 0.0000
Bi1 Bi 0.5000 0.5000 0.2931
Rh1 Rh 0.0000 0.0000 0.5000

=====

3.
# Ca3Zr2N4, relaxed, DFT GGA-PBE
# ΔE_f (raw), eV/atom: -1.198
# N(E_F), states/eV per atom: 0.06
data_Ca3Zr2N4
_symmetry_space_group_name_H-M 'C 1 2/m 1'
_symmetry_Int_Tables_number 12
_symmetry_space_group_name_Hall '-C 2y'
_cell_length_a 11.5162
_cell_length_b 3.4748
_cell_length_c 8.5965
_cell_angle_alpha 90.00
_cell_angle_beta 121.65
_cell_angle_gamma 90.00
loop_
_atom_site_label
_atom_site_type_symbol
_atom_site_fract_x
_atom_site_fract_y
_atom_site_fract_z
Ca1 Ca 0.0000 0.0000 0.0000
Ca2 Ca 0.1955 0.0000 0.8029
Zr1 Zr 0.1068 0.5000 0.3755
N1 N 0.0822 0.5000 0.8690
N2 N 0.1950 0.0000 0.3251

=====

4.
# Cr2CoSb, relaxed, DFT GGA-PBE
# ΔE_f (raw), eV/atom: 0.136
# N(E_F), states/eV per atom: 0.63
data_Cr2CoSb
_symmetry_space_group_name_H-M 'I -4 m 2'
_symmetry_Int_Tables_number 119
_symmetry_space_group_name_Hall 'I -4 -2'
_cell_length_a 3.9091
_cell_length_b 3.9091
_cell_length_c 7.4479
_cell_angle_alpha 90.00
_cell_angle_beta 90.00
_cell_angle_gamma 90.00
loop_
_atom_site_label
_atom_site_type_symbol
_atom_site_fract_x
_atom_site_fract_y
_atom_site_fract_z
Cr1 Cr 0.0000 0.0000 0.0000
Cr2 Cr 0.0000 0.5000 0.2500
Co1 Co 0.0000 0.5000 0.7500
Sb1 Sb 0.0000 0.0000 0.5000

=====

5.
# Dy2MgGa3Cu4, relaxed, DFT GGA-PBE
# Energy of formation, eV/atom: -0.37
# N(E_F), states/eV per atom: 0.45
data_Dy2MgGa3Cu4
_symmetry_space_group_name_H-M 'P -4 m 2'
_symmetry_Int_Tables_number 115
_symmetry_space_group_name_Hall 'P -4 -2'
_cell_length_a 4.0788
_cell_length_b 4.0788
_cell_length_c 10.6842
_cell_angle_alpha 90.00
_cell_angle_beta 90.00
_cell_angle_gamma 90.00
loop_
_atom_site_label
_atom_site_type_symbol
_atom_site_fract_x
_atom_site_fract_y
_atom_site_fract_z
Dy1 Dy 0.0000 0.5000 0.2343
Mg1 Mg 0.0000 0.0000 0.5000
Ga1 Ga 0.0000 0.5000 0.8729
Ga2 Ga 0.5000 0.5000 0.5000
Cu1 Cu 0.0000 0.0000 0.0000
Cu2 Cu 0.0000 0.5000 0.6488
Cu3 Cu 0.5000 0.5000 0.0000

=====

6.
# La6PmAg2, relaxed, DFT GGA-PBE
# Energy of formation, eV/atom: -0.04
# N(E_F), states/eV per atom: 1.24
data_La6PmAg2
_symmetry_space_group_name_H-M 'C 1 2/c 1'
_symmetry_Int_Tables_number 15
_symmetry_space_group_name_Hall '-C 2yc'
_cell_length_a 15.7060
_cell_length_b 11.6671
_cell_length_c 6.3386
_cell_angle_alpha 90.00
_cell_angle_beta 94.56
_cell_angle_gamma 90.00
loop_
_atom_site_label
_atom_site_type_symbol
_atom_site_fract_x
_atom_site_fract_y
_atom_site_fract_z
La1 La 0.0573 0.1205 0.0023
La2 La 0.1126 0.3459 0.3059
La3 La 0.2299 0.3786 0.8269
Pm1 Pm 0.0000 0.3945 0.7500
Ag1 Ag 0.1648 0.1307 0.6001

=====

7.
# InCN, relaxed, DFT GGA-PBE
# ΔE_f (raw), eV/atom: 0.523
# N(E_F), states/eV per atom: 0.00
data_InCN
_symmetry_space_group_name_H-M 'P -3 m 1'
_symmetry_Int_Tables_number 164
_symmetry_space_group_name_Hall '-P 3 2"'
_cell_length_a 4.9868
_cell_length_b 4.9868
_cell_length_c 7.9167
_cell_angle_alpha 90.00
_cell_angle_beta 90.00
_cell_angle_gamma 120.00
loop_
_atom_site_label
_atom_site_type_symbol
_atom_site_fract_x
_atom_site_fract_y
_atom_site_fract_z
In1 In 0.3333 0.6667 0.2315
C1 C 0.3333 0.6667 0.5478
N1 N 0.3333 0.6667 0.6975

=====

8.
# LiNd6Tl2, relaxed, DFT GGA-PBE
# Energy of formation, eV/atom: 0.12
# N(E_F), states/eV per atom: 1.68
data_LiNd6Tl2
_symmetry_space_group_name_H-M 'C 1 2/m 1'
_symmetry_Int_Tables_number 12
_symmetry_space_group_name_Hall '-C 2y'
_cell_length_a 16.4086
_cell_length_b 7.8241
_cell_length_c 5.1728
_cell_angle_alpha 90.00
_cell_angle_beta 108.17
_cell_angle_gamma 90.00
loop_
_atom_site_label
_atom_site_type_symbol
_atom_site_fract_x
_atom_site_fract_y
_atom_site_fract_z
Li1 Li 0.0000 0.0000 0.0000
Nd1 Nd 0.0000 0.2473 0.5000
Nd2 Nd 0.1639 0.2476 0.1640
Tl1 Tl 0.1653 0.5000 0.6655

=====

9.
# SrAcTl2, relaxed, DFT GGA-PBE
# Energy of formation, eV/atom: -0.40
# N(E_F), states/eV per atom: 0.65
data_SrAcTl2
_symmetry_space_group_name_H-M 'P 4/m m m'
_symmetry_Int_Tables_number 123
_symmetry_space_group_name_Hall '-P 4 2'
_cell_length_a 4.0941
_cell_length_b 4.0941
_cell_length_c 8.3269
_cell_angle_alpha 90.00
_cell_angle_beta 90.00
_cell_angle_gamma 90.00
loop_
_atom_site_label
_atom_site_type_symbol
_atom_site_fract_x
_atom_site_fract_y
_atom_site_fract_z
Sr1 Sr 0.0000 0.0000 0.0000
Ac1 Ac 0.0000 0.0000 0.5000
Tl1 Tl 0.5000 0.5000 0.2467

=====

10.
# ScTc4Ge2, relaxed, DFT GGA-PBE
# Energy of formation, eV/atom: -0.29
# N(E_F), states/eV per atom: 0.85
data_ScTc4Ge2
_symmetry_space_group_name_H-M 'C m m m'
_symmetry_Int_Tables_number 65
_symmetry_space_group_name_Hall '-C 2 2'
_cell_length_a 4.0809
_cell_length_b 14.3479
_cell_length_c 4.0074
_cell_angle_alpha 90.00
_cell_angle_beta 90.00
_cell_angle_gamma 90.00
loop_
_atom_site_label
_atom_site_type_symbol
_atom_site_fract_x
_atom_site_fract_y
_atom_site_fract_z
Sc1 Sc 0.0000 0.0000 0.0000
Tc1 Tc 0.0000 0.1888 0.5000
Tc2 Tc 0.0000 0.3031 0.0000
Ge1 Ge 0.0000 0.4154 0.5000

=====

11.
# ZrMnW2, relaxed, DFT GGA-PBE
# Energy of formation, eV/atom: 0.08
# N(E_F), states/eV per atom: 0.79
data_ZrMnW2
_symmetry_space_group_name_H-M 'F -4 3 m'
_symmetry_Int_Tables_number 216
_symmetry_space_group_name_Hall 'F -4 2 3'
_cell_length_a 6.3591
_cell_length_b 6.3591
_cell_length_c 6.3591
_cell_angle_alpha 90.00
_cell_angle_beta 90.00
_cell_angle_gamma 90.00
loop_
_atom_site_label
_atom_site_type_symbol
_atom_site_fract_x
_atom_site_fract_y
_atom_site_fract_z
Zr1 Zr 0.0000 0.0000 0.0000
Mn1 Mn 0.2500 0.2500 0.2500
W1 W 0.0000 0.0000 0.5000
W2 W 0.2500 0.2500 0.7500

=====

12.
# Tb3PrSm6Tm2, relaxed, DFT GGA-PBE
# Energy of formation, eV/atom: 0.02
# N(E_F), states/eV per atom: 1.26
data_Tb3PrSm6Tm2
_symmetry_space_group_name_H-M 'C 1 2/m 1'
_symmetry_Int_Tables_number 12
_symmetry_space_group_name_Hall '-C 2y'
_cell_length_a 6.2307
_cell_length_b 10.7863
_cell_length_c 11.8970
_cell_angle_alpha 90.00
_cell_angle_beta 100.03
_cell_angle_gamma 90.00
loop_
_atom_site_label
_atom_site_type_symbol
_atom_site_fract_x
_atom_site_fract_y
_atom_site_fract_z
Tb1 Tb 0.0000 0.0000 0.0000
Tb2 Tb 0.0000 0.3330 0.0000
Pr1 Pr 0.0000 0.5000 0.5000
Sm1 Sm 0.2494 0.0000 0.7502
Sm2 Sm 0.2487 0.1673 0.2496
Tm1 Tm 0.0000 0.1667 0.5000

=====

13.
# PrHfBi, relaxed, DFT GGA-PBE
# Energy of formation, eV/atom: -0.48
# N(E_F), states/eV per atom: 0.76
data_PrHfBi
_symmetry_space_group_name_H-M 'P 4/n m m'
_symmetry_Int_Tables_number 129
_cell_length_a 4.4445
_cell_length_b 4.4445
_cell_length_c 8.6239
_cell_angle_alpha 90.00
_cell_angle_beta 90.00
_cell_angle_gamma 90.00
loop_
_symmetry_equiv_pos_as_xyz
'x,y,z'
'-x,-y,-z'
'-y+1/2,x,z'
'y+1/2,-x,-z'
'-x+1/2,-y+1/2,z'
'x+1/2,y+1/2,-z'
'y,-x+1/2,z'
'-y,x+1/2,-z'
'x+1/2,-y,-z'
'-x+1/2,y,z'
'-y,-x,-z'
'y,x,z'
'-x,y+1/2,-z'
'x,-y+1/2,z'
'y+1/2,x+1/2,-z'
'-y+1/2,-x+1/2,z'
loop_
_atom_site_label
_atom_site_type_symbol
_atom_site_fract_x
_atom_site_fract_y
_atom_site_fract_z
Pr1 Pr 0.2500 0.2500 0.1500
Hf1 Hf 0.2500 0.7500 0.5000
Bi1 Bi 0.2500 0.2500 0.7557